1) A plane-wave DFT calculation with PBE-GGA was carried out for a relaxed LiCr3Si crystal.

theoretical density: 3.112 Mg/m³

abc: 4.671 4.671 4.671
angles: 90.00 90.00 90.00
Atoms (fractional coordinates):
Li  0.000  0.000  0.000
Cr  0.000  0.500  0.500
Cr  0.500  0.000  0.500
Cr  0.500  0.500  0.000
Si  0.500  0.500  0.500

=====

2) A plane-wave DFT calculation with PBE-GGA was carried out for a relaxed LiCr3Si crystal.

theoretical density: 5.176 Mg/m³

abc: 3.943 3.943 3.943
angles: 90.00 90.00 90.00
Atoms (fractional coordinates):
Li  0.000  0.000  0.000
Cr  0.000  0.000  0.500
Cr  0.000  0.500  0.000
Cr  0.500  0.000  0.000
Si  0.500  0.500  0.500

=====

Result of the stability comparison: 2) is the least stable of them.

=====

1) A plane-wave DFT calculation with PBE-GGA was carried out for a relaxed LiCrSn2 crystal.

theoretical density: 6.051 Mg/m³

abc: 3.393 3.393 7.066
angles: 90.00 90.00 90.00
Atoms (fractional coordinates):
Li  0.000  0.000  0.000
Cr  0.000  0.000  0.500
Sn  0.500  0.500  0.262
Sn  0.500  0.500  0.738

=====

2) A plane-wave DFT calculation with PBE-GGA was carried out for a relaxed LiCrSn2 crystal.

theoretical density: 6.234 Mg/m³

abc: 6.810 6.810 6.810
angles: 90.00 90.00 90.00
Atoms (fractional coordinates):
Li  0.000  0.000  0.000
Li  0.000  0.500  0.500
Li  0.500  0.000  0.500
Li  0.500  0.500  0.000
Cr  0.000  0.000  0.500
Cr  0.000  0.500  0.000
Cr  0.500  0.000  0.000
Cr  0.500  0.500  0.500
Sn  0.250  0.250  0.250
Sn  0.250  0.250  0.750
Sn  0.250  0.750  0.250
Sn  0.250  0.750  0.750
Sn  0.750  0.250  0.250
Sn  0.750  0.250  0.750
Sn  0.750  0.750  0.250
Sn  0.750  0.750  0.750

=====

3) A plane-wave DFT calculation with PBE-GGA was carried out for a relaxed LiCrSn2 crystal.

theoretical density: 5.364 Mg/m³

abc: 4.401 4.401 18.946
angles: 90.00 90.00 90.00
Atoms (fractional coordinates):
Li  0.000  0.000  0.000
Li  0.000  0.500  0.250
Li  0.500  0.000  0.750
Li  0.500  0.500  0.500
Cr  0.000  0.000  0.500
Cr  0.000  0.500  0.750
Cr  0.500  0.000  0.250
Cr  0.500  0.500  0.000
Sn  0.247  0.250  0.125
Sn  0.250  0.747  0.375
Sn  0.250  0.753  0.875
Sn  0.253  0.250  0.625
Sn  0.747  0.750  0.625
Sn  0.750  0.247  0.875
Sn  0.750  0.253  0.375
Sn  0.753  0.750  0.125

=====

Result of the stability comparison: 3) is the least stable of them.

=====

1) A plane-wave DFT calculation with PBE-GGA was carried out for a relaxed LiCr2Sn2 crystal.

theoretical density: 6.498 Mg/m³

abc: 7.693 7.693 3.008
angles: 90.00 90.00 90.00
Atoms (fractional coordinates):
Li  0.000  0.000  0.000
Li  0.500  0.500  0.000
Cr  0.096  0.404  0.000
Cr  0.404  0.904  0.000
Cr  0.596  0.096  0.000
Cr  0.904  0.596  0.000
Sn  0.190  0.690  0.500
Sn  0.310  0.190  0.500
Sn  0.690  0.810  0.500
Sn  0.810  0.310  0.500

=====

2) A plane-wave DFT calculation with PBE-GGA was carried out for a relaxed LiCr2Sn2 crystal.

theoretical density: 6.460 Mg/m³

abc: 7.780 7.780 2.959
angles: 90.00 90.00 90.00
Atoms (fractional coordinates):
Li  0.000  0.000  0.000
Li  0.500  0.500  0.000
Cr  0.097  0.403  0.500
Cr  0.403  0.903  0.500
Cr  0.597  0.097  0.500
Cr  0.903  0.597  0.500
Sn  0.188  0.688  0.000
Sn  0.312  0.188  0.000
Sn  0.688  0.812  0.000
Sn  0.812  0.312  0.000

=====

Result of the stability comparison: 2) is the least stable of them.

=====

1) A plane-wave DFT calculation with PBE-GGA was carried out for a relaxed SrLiCr2 crystal.

theoretical density: 3.756 Mg/m³

abc: 4.160 4.160 20.289
angles: 90.00 90.00 90.00
Atoms (fractional coordinates):
Sr  0.000  0.250  0.375
Sr  0.000  0.750  0.625
Sr  0.500  0.250  0.125
Sr  0.500  0.750  0.875
Li  0.000  0.250  0.875
Li  0.000  0.750  0.125
Li  0.500  0.250  0.625
Li  0.500  0.750  0.375
Cr  0.000  0.000  0.000
Cr  0.000  0.500  0.000
Cr  0.250  0.250  0.750
Cr  0.250  0.750  0.250
Cr  0.500  0.000  0.500
Cr  0.500  0.500  0.500
Cr  0.750  0.250  0.750
Cr  0.750  0.750  0.250

=====

2) A plane-wave DFT calculation with PBE-GGA was carried out for a relaxed SrLiCr2 crystal.

theoretical density: 3.417 Mg/m³

abc: 7.607 4.401 6.307
angles: 90.00 113.94 90.00
Atoms (fractional coordinates):
Sr  0.000  0.000  0.000
Sr  0.500  0.500  0.000
Li  0.203  0.000  0.606
Li  0.703  0.500  0.606
Cr  0.300  0.500  0.399
Cr  0.475  0.000  0.425
Cr  0.800  0.000  0.399
Cr  0.975  0.500  0.425

=====

Result of the stability comparison: 1) is the least stable of them.

=====

1) A plane-wave DFT calculation with PBE-GGA was carried out for a relaxed SrLi2Cr crystal.

theoretical density: 2.329 Mg/m³

abc: 9.558 4.301 5.705
angles: 90.00 111.05 90.00
Atoms (fractional coordinates):
Sr  0.000  0.000  0.000
Sr  0.500  0.500  0.000
Li  0.216  0.000  0.639
Li  0.284  0.500  0.361
Li  0.716  0.500  0.639
Li  0.784  0.000  0.361
Cr  0.000  0.500  0.500
Cr  0.500  0.000  0.500

=====

2) A plane-wave DFT calculation with PBE-GGA was carried out for a relaxed SrLi2Cr crystal.

theoretical density: 2.207 Mg/m³

abc: 4.641 4.641 21.450
angles: 90.00 90.00 90.00
Atoms (fractional coordinates):
Sr  0.000  0.000  0.000
Sr  0.000  0.500  0.250
Sr  0.500  0.000  0.750
Sr  0.500  0.500  0.500
Li  0.157  0.250  0.625
Li  0.250  0.657  0.875
Li  0.250  0.843  0.375
Li  0.343  0.250  0.125
Li  0.657  0.750  0.125
Li  0.750  0.157  0.375
Li  0.750  0.343  0.875
Li  0.843  0.750  0.625
Cr  0.000  0.000  0.500
Cr  0.000  0.500  0.750
Cr  0.500  0.000  0.250
Cr  0.500  0.500  0.000

=====

Result of the stability comparison: 2) is the least stable of them.

=====

1) A plane-wave DFT calculation with PBE-GGA was carried out for a relaxed SrLi3Cr crystal.

theoretical density: 1.886 Mg/m³

abc: 5.208 5.208 5.208
angles: 90.00 90.00 90.00
Atoms (fractional coordinates):
Sr  0.000  0.000  0.000
Li  0.000  0.500  0.500
Li  0.500  0.000  0.500
Li  0.500  0.500  0.000
Cr  0.500  0.500  0.500

=====

2) A plane-wave DFT calculation with PBE-GGA was carried out for a relaxed SrLi3Cr crystal.

theoretical density: 2.369 Mg/m³

abc: 4.827 4.827 4.827
angles: 90.00 90.00 90.00
Atoms (fractional coordinates):
Sr  0.000  0.000  0.000
Li  0.000  0.000  0.500
Li  0.000  0.500  0.000
Li  0.500  0.000  0.000
Cr  0.500  0.500  0.500

=====

Result of the stability comparison: 2) is the least stable of them.